Cs3ClO meta-GGA SCAN single point on PBEsol structure; E_form (uncorrected) = -761.5 kJ/mol of formula units; space group = No. 62; density = 4.48 g/cm3
1.0
-1.0347 2.8731 -3.1345
2.7792 -6.1574 -6.5613
-14.9909 -6.0905 -0.6342
Cl Cs O
4 12 4
Direct
0.7500 0.5743 0.1721
0.2500 0.9257 0.6721
0.2500 0.4257 0.8279
0.7500 0.0743 0.3279
0.7500 0.9734 0.0986
0.2500 0.5266 0.5986
0.2500 0.0266 0.9014
0.7500 0.4734 0.4014
0.2500 0.2864 0.2099
0.7500 0.2136 0.7099
0.7500 0.7136 0.7901
0.2500 0.7864 0.2901
0.7500 0.3294 0.9986
0.2500 0.1706 0.4986
0.2500 0.6706 0.0014
0.7500 0.8294 0.5014
0.2500 0.1654 0.0607
0.7500 0.3346 0.5607
0.7500 0.8346 0.9393
0.2500 0.6654 0.4393

---

CsP2ClO meta-GGA SCAN single point on PBEsol structure; E_form (uncorrected) = 659.8 kJ/mol of formula units; space group = No. 123; density = 2.15 g/cm3
1.0
4.3351 0.0000 0.0000
0.0000 6.6253 0.0000
0.0000 0.0000 6.6253
Cs P O Cl
1 2 1 1
Direct
0.0000 0.0000 0.0000
0.0000 0.0000 0.5000
0.0000 0.5000 0.0000
0.5000 0.0000 0.0000
0.5000 0.5000 0.5000

---

CsPClO2 meta-GGA SCAN single point on PBEsol structure; E_form (uncorrected) = 447.5 kJ/mol of formula units; space group = No. 123; density = 2.78 g/cm3
1.0
4.1782 0.0000 0.0000
0.0000 4.1782 0.0000
0.0000 0.0000 7.9183
Cs P O Cl
1 1 2 1
Direct
0.0000 0.0000 0.0000
0.0000 0.0000 0.5000
0.0000 0.5000 0.0000
0.5000 0.0000 0.0000
0.5000 0.5000 0.5000

---

Cs2PuCl4O2 meta-GGA SCAN single point on PBEsol structure; E_form (uncorrected) = -1985.3 kJ/mol of formula units; space group = No. 12; density = 4.48 g/cm3
1.0
5.7822 0.1502 -0.0960
0.8338 6.9499 0.0358
-0.8338 -2.8818 6.3244
Cs Pu Cl O
2 1 4 2
Direct
0.6827 0.6662 0.3338
0.3173 0.3338 0.6662
0.0000 0.0000 0.0000
0.7958 0.6485 0.8447
0.2042 0.3515 0.1553
0.2042 0.8447 0.6485
0.7958 0.1553 0.3515
0.7664 0.1194 0.8806
0.2336 0.8806 0.1194

---

Cs3Re2Cl10O meta-GGA SCAN single point on PBEsol structure; E_form (uncorrected) = -2232.8 kJ/mol of formula units; space group = No. 139; density = 4.01 g/cm3
1.0
7.3605 0.0000 0.0000
0.0000 7.3605 0.0000
-3.6803 -3.6803 8.7298
Cs Re Cl O
3 2 10 1
Direct
0.2500 0.7500 0.5000
0.7500 0.2500 0.5000
0.5000 0.5000 0.0000
0.1048 0.1048 0.2096
0.8952 0.8952 0.7904
0.2410 0.2410 0.4820
0.7590 0.7590 0.5180
0.8859 0.8859 0.2226
0.3367 0.3367 0.2226
0.8859 0.3367 0.2226
0.3367 0.8859 0.2226
0.1141 0.1141 0.7774
0.6633 0.6633 0.7774
0.1141 0.6633 0.7774
0.6633 0.1141 0.7774
0.0000 0.0000 0.0000

---

Cs4Ru2Cl10O meta-GGA SCAN single point on PBEsol structure; E_form (uncorrected) = -2479.7 kJ/mol of formula units; space group = No. 61; density = 3.68 g/cm3
1.0
11.6485 0.0000 0.0000
0.0000 12.4346 0.0000
0.0000 0.0000 13.7774
Cs Ru Cl O
16 8 40 4
Direct
0.7186 0.1054 0.6382
0.5204 0.2245 0.3549
0.7814 0.1054 0.1382
0.9796 0.7245 0.6451
0.2186 0.3946 0.6382
0.9796 0.2245 0.8549
0.2814 0.8946 0.3618
0.7814 0.6054 0.3618
0.2814 0.3946 0.1382
0.7186 0.6054 0.8618
0.5204 0.7245 0.1451
0.4796 0.2755 0.8549
0.4796 0.7755 0.6451
0.2186 0.8946 0.8618
0.0204 0.2755 0.3549
0.0204 0.7755 0.1451
0.5900 0.4454 0.5922
0.0900 0.0546 0.5922
0.4100 0.5546 0.4078
0.4100 0.0546 0.0922
0.0900 0.5546 0.9078
0.9100 0.4454 0.0922
0.5900 0.9454 0.9078
0.9100 0.9454 0.4078
0.0260 0.0129 0.2806
0.4864 0.2818 0.5979
0.2211 0.6322 0.0173
0.4864 0.7818 0.9021
0.7211 0.8678 0.0173
0.5136 0.7182 0.4021
0.7056 0.1011 0.8969
0.2789 0.1322 0.9827
0.7951 0.3734 0.2148
0.2944 0.8989 0.1031
0.7951 0.8734 0.2852
0.7049 0.3734 0.7148
0.9864 0.7182 0.9021
0.2049 0.1266 0.7148
0.7211 0.3678 0.4827
0.9740 0.9871 0.7194
0.7944 0.1011 0.3969
0.2049 0.6266 0.7852
0.7056 0.6011 0.6031
0.2056 0.3989 0.8969
0.2951 0.6266 0.2852
0.0260 0.5129 0.2194
0.5136 0.2182 0.0979
0.0136 0.7818 0.4021
0.5260 0.4871 0.2806
0.2211 0.1322 0.4827
0.9740 0.4871 0.7806
0.7049 0.8734 0.7852
0.7789 0.8678 0.5173
0.2789 0.6322 0.5173
0.2056 0.8989 0.6031
0.7789 0.3678 0.9827
0.9864 0.2182 0.5979
0.5260 0.9871 0.2194
0.4740 0.0129 0.7806
0.7944 0.6011 0.1031
0.2951 0.1266 0.2148
0.4740 0.5129 0.7194
0.0136 0.2818 0.0979
0.2944 0.3989 0.3969
0.5000 0.0000 0.0000
0.5000 0.5000 0.5000
0.0000 0.5000 0.0000
0.0000 0.0000 0.5000

---

Cs2UCl4O2 meta-GGA SCAN single point on PBEsol structure; E_form (uncorrected) = -2145.5 kJ/mol of formula units; space group = No. 12; density = 4.39 g/cm3
1.0
-1.8257 -2.1491 5.0881
5.9566 0.5480 3.7108
-3.8845 5.8647 -0.2588
Cs U Cl O
2 1 4 2
Direct
0.3241 0.3319 0.6681
0.6759 0.6681 0.3319
0.0000 0.0000 0.0000
0.2026 0.8462 0.6487
0.7974 0.6487 0.8462
0.7974 0.1538 0.3513
0.2026 0.3513 0.1538
0.2414 0.8779 0.1221
0.7586 0.1221 0.8779

---

CsRe2OsSe4Cl3 meta-GGA SCAN single point on PBEsol structure; E_form (uncorrected) = -926.4 kJ/mol of formula units; space group = No. 9; density = 6.27 g/cm3
1.0
-2.0520 9.5233 1.2015
-5.2488 4.7880 -6.8196
-11.8928 -3.5521 6.7554
Cs Re Os Se Cl
4 8 4 16 12
Direct
0.9994 0.9978 0.5008
0.9972 0.0022 0.0008
0.6696 0.6665 0.7490
0.3362 0.3335 0.2490
0.4867 0.1773 0.6761
0.1794 0.3322 0.6741
0.6640 0.8227 0.1761
0.5116 0.6678 0.1741
0.6666 0.5127 0.3240
0.8219 0.6648 0.3258
0.1792 0.4873 0.8240
0.4867 0.3352 0.8258
0.3353 0.4857 0.6725
0.8209 0.5143 0.1725
0.5126 0.8210 0.3277
0.3335 0.1790 0.8277
0.3346 0.3299 0.5332
0.6645 0.6701 0.0332
0.6684 0.6644 0.4668
0.3328 0.3356 0.9668
0.6281 0.3312 0.6755
0.3299 0.0379 0.6803
0.0432 0.6272 0.6721
0.3679 0.9621 0.1803
0.9593 0.6688 0.1755
0.6703 0.3728 0.1721
0.3704 0.6710 0.3240
0.6671 0.9592 0.3280
0.9618 0.3698 0.3200
0.6263 0.0408 0.8280
0.0414 0.3290 0.8240
0.3316 0.6302 0.8200
0.3438 0.6813 0.5784
0.6856 0.9699 0.5847
0.9732 0.3393 0.5791
0.6556 0.0301 0.0847
0.0252 0.3187 0.0784
0.3125 0.6607 0.0791
0.6600 0.3132 0.4157
0.3169 0.0235 0.4232
0.0300 0.6558 0.4190
0.3404 0.9765 0.9232
0.9731 0.6868 0.9157
0.6859 0.3442 0.9190

---

CsOsS2Cl meta-GGA SCAN single point on PBEsol structure; E_form (uncorrected) = 999.1 kJ/mol of formula units; space group = No. 123; density = 4.13 g/cm3
1.0
-1.8761 4.5674 2.0723
-3.6564 -2.7600 2.7727
3.8015 -0.4911 4.5242
Cs S Os Cl
1 2 1 1
Direct
0.0000 0.0000 0.0000
0.0000 0.5000 0.0000
0.5000 0.0000 0.0000
0.5000 0.5000 0.5000
0.0000 0.0000 0.5000

---

CsP2PbCl meta-GGA SCAN single point on PBEsol structure; E_form (uncorrected) = 538.0 kJ/mol of formula units; space group = No. 123; density = 4.38 g/cm3
1.0
5.3418 0.0000 0.0000
0.0000 5.3418 0.0000
0.0000 0.0000 5.8174
Pb Cs P Cl
1 1 2 1
Direct
0.5000 0.5000 0.5000
0.0000 0.0000 0.0000
0.0000 0.5000 0.0000
0.5000 0.0000 0.0000
0.0000 0.0000 0.5000

---

CsP2RhCl meta-GGA SCAN single point on PBEsol structure; E_form (uncorrected) = 941.3 kJ/mol of formula units; space group = No. 123; density = 3.31 g/cm3
1.0
5.3658 0.0000 0.0000
0.0000 5.3658 0.0000
0.0000 0.0000 5.8037
Cs P Rh Cl
1 2 1 1
Direct
0.0000 0.0000 0.0000
0.0000 0.5000 0.0000
0.5000 0.0000 0.0000
0.5000 0.5000 0.5000
0.0000 0.0000 0.5000

---

CsPS2Cl meta-GGA SCAN single point on PBEsol structure; E_form (uncorrected) = 289.3 kJ/mol of formula units; space group = No. 123; density = 3.62 g/cm3
1.0
-3.5738 -1.9104 -2.6596
-0.3772 -3.7906 3.2296
-3.3528 2.5881 2.6461
Cs P S Cl
1 1 2 1
Direct
0.5000 0.5000 0.5000
0.5000 0.0000 0.0000
0.0000 0.0000 0.5000
0.0000 0.5000 0.0000
0.0000 0.0000 0.0000

---

CsSbP2Cl meta-GGA SCAN single point on PBEsol structure; E_form (uncorrected) = 731.3 kJ/mol of formula units; space group = No. 123; density = 3.63 g/cm3; polymorph energy (0 for the lowest one) = 1527 meV per atom
1.0
-2.1296 -0.0521 5.2076
4.9542 -0.1087 2.0249
0.0819 5.3518 0.0871
Cs Sb P Cl
1 1 2 1
Direct
0.0000 0.0000 0.0000
0.5000 0.5000 0.5000
0.0000 0.0000 0.5000
0.0000 0.5000 0.0000
0.5000 0.0000 0.0000

---

CsSbP2Cl meta-GGA SCAN single point on PBEsol structure; E_form (uncorrected) = -5.3 kJ/mol of formula units; space group = No. 123; density = 3.95 g/cm3; polymorph energy (0 for the lowest one) = 0 meV per atom
1.0
5.0415 0.0000 0.0000
0.0000 5.0415 0.0000
0.0000 0.0000 5.8194
Cs Sb P Cl
1 1 2 1
Direct
0.5000 0.5000 0.5000
0.0000 0.0000 0.0000
0.0000 0.5000 0.0000
0.5000 0.0000 0.0000
0.0000 0.0000 0.5000

---

CsSnPCl2 meta-GGA SCAN single point on PBEsol structure; E_form (uncorrected) = -361.5 kJ/mol of formula units; space group = No. 123; density = 3.82 g/cm3
1.0
5.1221 0.0000 0.0000
0.0000 5.4763 0.0000
0.0000 0.0000 5.4763
Cs P Sn Cl
1 1 1 2
Direct
0.5000 0.5000 0.5000
0.5000 0.0000 0.0000
0.0000 0.0000 0.0000
0.0000 0.0000 0.5000
0.0000 0.5000 0.0000

---

CsSrP2Cl meta-GGA SCAN single point on PBEsol structure; E_form (uncorrected) = -212.0 kJ/mol of formula units; space group = No. 123; density = 2.78 g/cm3
1.0
5.6169 0.0000 0.0000
0.0000 5.8176 0.0000
0.0000 0.0000 5.8176
Cs Sr P Cl
1 1 2 1
Direct
0.5000 0.5000 0.5000
0.0000 0.0000 0.0000
0.0000 0.0000 0.5000
0.0000 0.5000 0.0000
0.5000 0.0000 0.0000

---

CsTcPCl2 meta-GGA SCAN single point on PBEsol structure; E_form (uncorrected) = -324.8 kJ/mol of formula units; space group = No. 123; density = 4.70 g/cm3
1.0
4.5224 0.0000 0.0000
0.0000 5.0986 0.0000
0.0000 0.0000 5.0986
Cs P Tc Cl
1 1 1 2
Direct
0.5000 0.5000 0.5000
0.5000 0.0000 0.0000
0.0000 0.0000 0.0000
0.0000 0.0000 0.5000
0.0000 0.5000 0.0000

---

CsTlPCl2 meta-GGA SCAN single point on PBEsol structure; E_form (uncorrected) = -336.6 kJ/mol of formula units; space group = No. 123; density = 4.45 g/cm3
1.0
-1.3945 0.2104 -4.9118
4.1683 -3.5926 -1.3373
-3.5082 -4.3714 0.8088
Cs P Tl Cl
1 1 1 2
Direct
0.5000 0.5000 0.5000
0.5000 0.0000 0.0000
0.0000 0.0000 0.0000
0.0000 0.0000 0.5000
0.0000 0.5000 0.0000

---

CsYP2Cl meta-GGA SCAN single point on PBEsol structure; E_form (uncorrected) = 346.1 kJ/mol of formula units; space group = No. 123; density = 3.49 g/cm3
1.0
-0.6383 -4.2094 -3.0503
-0.9432 -2.9284 4.2386
-5.4095 1.1279 -0.4245
Cs Y P Cl
1 1 2 1
Direct
0.0000 0.0000 0.0000
0.5000 0.5000 0.5000
0.0000 0.5000 0.0000
0.5000 0.0000 0.0000
0.0000 0.0000 0.5000

---

CsPbCl3 meta-GGA SCAN single point on PBEsol structure; E_form (uncorrected) = -244.7 kJ/mol of formula units; space group = No. 221; density = 3.44 g/cm3
1.0
5.9970 0.0000 0.0000
0.0000 5.9970 0.0000
0.0000 0.0000 5.9970
Pb Cs Cl
1 1 3
Direct
0.5000 0.5000 0.5000
0.0000 0.0000 0.0000
0.0000 0.5000 0.0000
0.0000 0.0000 0.5000
0.5000 0.0000 0.0000